(1)
First-principles (PBE) data for an optimized crystal structure of B2PdO4, as listed in OQMD.

Properties
raw total energy = -6.85 eV/atom

```
14
Lattice="5.643 0.000 0.000 0.000 5.643 0.000 0.000 0.000 4.451" Properties=species:S:1:pos:R:3 pbc="T T T"
B 0.000 2.822 1.113
B 0.000 2.822 3.338
B 2.822 0.000 1.113
B 2.822 0.000 3.338
Pd 0.000 0.000 0.000
Pd 0.000 0.000 2.225
O 0.678 2.012 0.000
O 0.678 3.632 2.225
O 2.012 0.678 2.225
O 2.012 4.965 0.000
O 3.632 0.678 0.000
O 3.632 4.965 2.225
O 4.965 2.012 2.225
O 4.965 3.632 0.000
```

=====

(2)
First-principles (PBE) data for an optimized crystal structure of DySnAsO, as listed in OQMD.

Properties
magnetic moment = 0.00 μB per cell
raw total energy = -5.88 eV/atom
energy above the most stable polymorph in this dataset = 129 meV per atom

```
8
Lattice="4.903 0.000 0.000 0.000 6.258 0.000 0.000 0.000 6.294" Properties=species:S:1:pos:R:3 pbc="T T T"
Dy 0.000 0.987 0.000
Dy 0.000 5.270 3.147
Sn 2.452 1.621 2.324
Sn 2.452 4.636 5.471
As 2.452 1.789 5.046
As 2.452 4.468 1.899
O 0.000 0.893 2.172
O 0.000 5.365 5.319
```

=====

(3)
First-principles (PBE) data for an optimized crystal structure of CoSbOsAu, as listed in OQMD.

Properties
magnetic moment = 0.82 μB per cell
raw total energy = -5.95 eV/atom
energy above the most stable polymorph in this dataset = 0 meV per atom

```
4
Lattice="0.000 3.166 3.166 3.166 0.000 3.166 3.166 3.166 0.000" Properties=species:S:1:pos:R:3 pbc="T T T"
Co 0.000 0.000 0.000
Sb 4.749 4.749 4.749
Os 3.166 3.166 3.166
Au 1.583 1.583 1.583
```